1.
A plane-wave DFT calculation with PBE was carried out for ScAlCu3 after structural relaxation.

Computed properties:
ΔE_f	268	meV per atom
symmetry	Pm-3m, No. 221
offset from the most stable computed form	228	kJ/mol of formula units

Geometry as POSCAR:
```
ScAlCu3
1.0
4.446 0.000 0.000
0.000 4.446 0.000
0.000 0.000 4.446
Sc Al Cu
1 1 3
Direct
0.000 0.000 0.000
0.500 0.500 0.500
0.000 0.500 0.500
0.500 0.000 0.500
0.500 0.500 0.000
```


2.
A plane-wave DFT calculation with PBE was carried out for Sm2In3Bi3 after structural relaxation.

Computed properties:
ΔE_f	-415	meV per atom
symmetry	Pmmm, No. 47

Geometry as POSCAR:
```
Sm2In3Bi3
1.0
4.798 0.000 0.000
0.000 4.967 0.000
0.000 0.000 9.619
Sm In Bi
2 3 3
Direct
0.000 0.000 0.249
0.000 0.000 0.751
0.000 0.500 0.500
0.500 0.500 0.260
0.500 0.500 0.740
0.000 0.500 0.000
0.500 0.000 0.000
0.500 0.000 0.500
```


3.
A plane-wave DFT calculation with PBE was carried out for CaAl4Ag2 after structural relaxation.

Computed properties:
ΔE_f	-52	meV per atom
symmetry	C2/m, No. 12
offset from the most stable computed form	86	kJ/mol of formula units

Geometry as POSCAR:
```
CaAl4Ag2
1.0
4.279 -2.802 0.000
4.279 2.802 0.000
-2.034 0.000 6.142
Ca Al Ag
1 4 2
Direct
0.000 0.000 0.000
0.093 0.595 0.360
0.405 0.907 0.640
0.595 0.093 0.360
0.907 0.405 0.640
0.433 0.433 0.764
0.567 0.567 0.236
```


4.
A plane-wave DFT calculation with PBE was carried out for CePrEr2N4 after structural relaxation.

Computed properties:
E_form (uncorrected)	-1.561	eV/atom
symmetry	P2/m, No. 10

Geometry as POSCAR:
```
CePrEr2N4
1.0
6.104 0.000 0.000
0.000 3.527 0.000
-2.014 0.000 5.764
Ce Pr Er N
1 1 2 4
Direct
0.000 0.000 0.000
0.500 0.500 0.000
0.000 0.500 0.500
0.500 0.000 0.500
0.236 0.000 0.739
0.246 0.500 0.259
0.754 0.500 0.741
0.764 0.000 0.261
```


5.
A plane-wave DFT calculation with PBE was carried out for Nd2CuP3Rh12 after structural relaxation.

Computed properties:
ΔE_f	-191	meV per atom
symmetry	R-3m, No. 166

Geometry as POSCAR:
```
Nd2CuP3Rh12
1.0
4.232 2.443 5.092
-4.232 2.443 5.092
0.000 -4.886 5.092
Nd Cu P Rh
2 1 3 12
Direct
0.108 0.108 0.108
0.892 0.892 0.892
0.500 0.500 0.500
0.000 0.500 0.500
0.500 0.000 0.500
0.500 0.500 0.000
0.144 0.644 0.644
0.168 0.168 0.585
0.168 0.585 0.168
0.356 0.356 0.856
0.356 0.856 0.356
0.415 0.832 0.832
0.585 0.168 0.168
0.644 0.144 0.644
0.644 0.644 0.144
0.832 0.415 0.832
0.832 0.832 0.415
0.856 0.356 0.356
```